First-principles (GGA-PBE) data for crystalline ScNb2CuAg at its relaxed geometry, as listed in Alexandria via LeMat-Bulk.

a b c (Å): 4.7082 4.7082 4.8122
angles (deg): 90.00 90.00 90.00
With the nearest neighbours (Å) after each atom.
Sites, in units of the cell vectors:
Sc1 0.0000 0.0000 0.0000  2 Cu 2.41
Nb1 0.0000 0.5000 0.5000  2 Cu 2.35
Nb2 0.5000 0.0000 0.5000  2 Cu 2.35
Cu1 0.0000 0.0000 0.5000  4 Nb 2.35, 2 Sc 2.41
Ag1 0.5000 0.5000 0.0000  4 Sc 3.33, 8 Nb 3.37

The energy of formation from the pure elements comes out at 866.5 meV/atom. As for the total energy: -5.817 eV/atom. Its space group is No. 123. The calculation puts the magnetic moment at 0.00 μB/f.u.